Record 1
{"formula": "AlNi2SeO6", "functional": "PBE+U", "state": "relaxed", "lattice_angstrom": [[4.605, 0.000, 0.000], [0.000, 5.150, 0.000], [0.000, 0.000, 5.150]], "species": ["Ni", "Ni", "O", "O", "O", "O", "O", "O", "Se", "Al"], "fractional_positions": [[0.941, 0.500, 0.000], [0.941, 0.000, 0.500], [0.242, 0.500, 0.500], [0.735, 0.755, 0.245], [0.735, 0.755, 0.755], [0.202, 0.000, 0.000], [0.735, 0.245, 0.245], [0.735, 0.245, 0.755], [0.603, 0.500, 0.500], [0.576, 0.000, 0.000]], "space_group": "P4mm, No. 99", "e_tot_ev_per_cell": -51.46, "n_ef_per_ev_atom": 0.1892}

Record 2
{"formula": "AlSiNi2O6", "functional": "PBE+U", "state": "relaxed", "lattice_angstrom": [[3.626, 0.000, 0.000], [0.000, 5.264, 0.000], [0.000, 0.000, 5.264]], "species": ["Ni", "Ni", "O", "O", "O", "O", "O", "O", "Al", "Si"], "fractional_positions": [[0.940, 0.500, 0.000], [0.940, 0.000, 0.500], [0.178, 0.500, 0.500], [0.714, 0.239, 0.761], [0.195, 0.000, 0.000], [0.714, 0.761, 0.239], [0.714, 0.239, 0.239], [0.714, 0.761, 0.761], [0.668, 0.500, 0.500], [0.668, 0.000, 0.000]], "space_group": "P4mm, No. 99", "e_tot_ev_per_cell": -59.53, "n_ef_per_ev_atom": 0.4386}

Record 3
{"formula": "AlNi2SnO6", "functional": "PBE+U", "state": "relaxed", "lattice_angstrom": [[-2.577, 2.887, -0.773], [-4.108, -3.780, -0.422], [-1.049, 0.529, 5.474]], "species": ["O", "O", "O", "O", "O", "O", "Sn", "Ni", "Ni", "Al"], "fractional_positions": [[0.739, 0.763, 0.763], [0.739, 0.237, 0.237], [0.209, 0.000, 0.000], [0.739, 0.237, 0.763], [0.179, 0.500, 0.500], [0.739, 0.763, 0.237], [0.667, 0.500, 0.500], [0.875, 0.500, 0.000], [0.875, 0.000, 0.500], [0.685, 0.000, 0.000]], "space_group": "P4mm, No. 99", "e_tot_ev_per_cell": -54.65, "n_ef_per_ev_atom": 0.2334}

Record 4
{"formula": "Sr2AlNiO5", "functional": "PBE+U", "state": "relaxed", "lattice_angstrom": [[-0.096, 2.720, 1.749], [3.826, -4.489, 4.197], [8.707, 3.207, -4.507]], "species": ["O", "O", "O", "O", "O", "O", "O", "O", "O", "O", "Sr", "Sr", "Sr", "Sr", "Al", "Al", "Ni", "Ni"], "fractional_positions": [[0.349, 0.697, 0.002], [0.651, 0.303, 0.502], [0.685, 0.370, 0.893], [0.289, 0.578, 0.646], [0.315, 0.630, 0.393], [0.948, 0.896, 0.527], [0.497, 0.995, 0.298], [0.052, 0.104, 0.027], [0.711, 0.422, 0.146], [0.503, 0.005, 0.798], [0.134, 0.268, 0.307], [0.866, 0.732, 0.807], [0.888, 0.776, 0.181], [0.112, 0.224, 0.681], [0.562, 0.125, 0.948], [0.438, 0.875, 0.448], [0.781, 0.563, 0.522], [0.219, 0.437, 0.022]], "space_group": "Cmc2_1, No. 36", "e_tot_ev_per_cell": -109.03}